Density functional theory data (meta-GGA SCAN) for AlFe2Re at its PBEsol-relaxed geometry.

**Crystal system**: monoclinic
**Magnetic moment**: 9.4 μB per cell
**Calculated volume**: 49.9 Å³/f.u.
**Calculated formation energy**: -0.09 eV/atom

Cell lengths 5.068, 7.913, 2.580 Å; angles 90.00, 105.22, 90.00 degrees
Space group C2/m (No. 12)
Asymmetric unit:
Al: 0.000 0.000 0.000 [2 per cell]
Fe: 0.250 0.250 0.500 [4 per cell]
Re: 0.000 0.500 0.000 [2 per cell]